Density functional theory data (PBE-GGA) for BaPtSe2N after structural relaxation.

The value obtained for the volume is 114.3 Å³ per cell. Its energy relative to the elements, uncorrected is -0.379 eV per atom. Its magnetization is 0.0 μB/f.u.

The structure belongs to space group P4/mmm (No. 123); the cell edges are 5.491, 5.491 and 3.791 Å and the angles 90.00°, 90.00° and 90.00°. The distinct sites, in fractional coordinates, are Ba at (0.000, 0.000, 0.000), Pt at (0.500, 0.500, 0.500), Se at (0.000, 0.500, 0.500) and N at (0.500, 0.500, 0.000).